[1]
DFT (PBE) results for a geometry-optimized AlTc2Te structure.

```
AlTc2Te
1.0
3.136 0.000 0.000
0.000 4.623 0.000
0.000 0.000 4.533
Al Tc Te
1 2 1
direct
0.000 0.000 0.000 Al
0.000 0.500 0.717 Tc
0.500 0.000 0.514 Tc
0.500 0.500 0.202 Te
```

Its space group is Pmm2, No. 25. The value obtained for the calculated volume is 16.4 Å³ per atom. As for the total energy: -27.19 eV/cell.

[2]
DFT (PBE) results for a geometry-optimized ErAl3Ir structure.

```
ErAl3Ir
1.0
4.284 0.000 0.000
0.000 6.989 0.000
0.000 0.000 6.626
Er Al Ir
2 6 2
direct
0.000 0.000 0.000 Er
0.000 0.500 0.500 Er
0.000 0.000 0.503 Al
0.000 0.500 0.003 Al
0.500 0.187 0.341 Al
0.500 0.313 0.841 Al
0.500 0.687 0.841 Al
0.500 0.813 0.341 Al
0.500 0.000 0.687 Ir
0.500 0.500 0.187 Ir
```

Its space group is Amm2, No. 38. The energy relative to the elements comes out at -531 meV/atom. The value obtained for the calculated volume is 19.8 Å³ per atom.

[3]
DFT (PBE) results for a geometry-optimized SmGdErMg structure.

```
SmGdErMg
1.0
7.822 0.000 0.000
0.000 7.822 0.000
0.000 0.000 7.822
Sm Gd Er Mg
4 4 4 4
direct
0.000 0.000 0.000 Sm
0.000 0.500 0.500 Sm
0.500 0.000 0.500 Sm
0.500 0.500 0.000 Sm
0.000 0.000 0.500 Gd
0.000 0.500 0.000 Gd
0.500 0.000 0.000 Gd
0.500 0.500 0.500 Gd
0.250 0.250 0.250 Er
0.250 0.750 0.750 Er
0.750 0.250 0.750 Er
0.750 0.750 0.250 Er
0.250 0.250 0.750 Mg
0.250 0.750 0.250 Mg
0.750 0.250 0.250 Mg
0.750 0.750 0.750 Mg
```

Its space group is F-43m, No. 216. The energy relative to the elements comes out at 24 meV/atom. The value obtained for the calculated volume is 29.9 Å³ per atom.

[4]
DFT (PBE) results for a geometry-optimized TmUTc2 structure.

```
TmUTc2
1.0
6.750 0.000 0.000
0.000 6.750 0.000
0.000 0.000 6.750
Tm U Tc
4 4 8
direct
0.000 0.000 0.000 Tm
0.000 0.500 0.500 Tm
0.500 0.000 0.500 Tm
0.500 0.500 0.000 Tm
0.000 0.000 0.500 U
0.000 0.500 0.000 U
0.500 0.000 0.000 U
0.500 0.500 0.500 U
0.250 0.250 0.250 Tc
0.250 0.250 0.750 Tc
0.250 0.750 0.250 Tc
0.250 0.750 0.750 Tc
0.750 0.250 0.250 Tc
0.750 0.250 0.750 Tc
0.750 0.750 0.250 Tc
0.750 0.750 0.750 Tc
```

Its space group is Fm-3m, No. 225. The energy relative to the elements comes out at -31 meV/atom. The value obtained for the calculated volume is 19.2 Å³ per atom.